# 1
This record from the Alexandria database describes crystalline Sc4FeIr2 at its relaxed geometry. The functional is PBE.

a b c (Å): 4.5396 4.5396 7.7401
angles (deg): 72.95 72.95 60.00
Each line ends with the local moment (μB).
Fractional coordinates of all 7 atoms:
Sc 0.8742 0.8742 0.3775  -0.10
Sc 0.1258 0.1258 0.6225  -0.10
Sc 0.6229 0.6229 0.1312  -0.13
Sc 0.3771 0.3771 0.8688  -0.13
Fe 0.0000 0.0000 0.0000  1.24
Ir 0.7478 0.7478 0.7566  0.01
Ir 0.2522 0.2522 0.2434  0.01

* SG: R-3m
* energy relative to the elements: -612.4 meV per atom
* total DFT energy (no corrections): -55.80 eV/cell



# 2
This record from the Alexandria database describes crystalline Co2SiRhS at its relaxed geometry. The functional is PBE.

a b c (Å): 4.6514 4.4482 4.6514
angles (deg): 90.00 90.00 90.00
Each line ends with the local moment (μB).
Fractional coordinates of all 5 atoms:
Co 0.0000 0.0000 0.5000  2.54
Co 0.5000 0.0000 0.0000  1.84
S 0.5000 0.5000 0.5000  0.09
Rh 0.0000 0.0000 0.0000  0.53
Si 0.0000 0.5000 0.0000  0.02

* SG: P4/mmm
* total DFT energy (no corrections): -26.08 eV/cell



# 3
This record from the Alexandria database describes crystalline Ac7Zn2Au2 at its relaxed geometry. The functional is PBE.

a b c (Å): 7.3827 7.9442 7.3827
angles (deg): 89.97 110.23 90.03
Fractional coordinates of all 11 atoms:
Ac 0.0001 0.2758 0.4997
Ac 0.4997 0.7242 0.0001
Ac 0.9999 0.7242 0.5003
Ac 0.5003 0.2758 0.9999
Ac 0.0000 0.0000 0.0000
Ac 0.4998 0.7345 0.5002
Ac 0.5002 0.2655 0.4998
Zn 0.8433 0.5000 0.8433
Zn 0.1567 0.5000 0.1567
Au 0.7067 0.9999 0.2933
Au 0.2933 0.0001 0.7067

* SG: Cmmm
* energy relative to the elements: -172.7 meV per atom
* total DFT energy (no corrections): -39.76 eV/cell



# 4
This record from the Alexandria database describes crystalline Ho3U2S8 at its relaxed geometry. The functional is PBE.

a b c (Å): 6.6060 7.8356 8.0125
angles (deg): 119.27 107.19 90.00
Each line ends with the local moment (μB).
Fractional coordinates of all 13 atoms:
Ho 0.5000 0.0000 0.0000  0.02
Ho 0.0000 0.2613 0.0000  0.01
Ho 0.0000 0.7387 0.0000  0.01
U 0.3358 0.2616 0.5231  2.43
U 0.6642 0.7384 0.4769  2.43
S 0.8927 0.6112 0.2224  -0.03
S 0.1073 0.3888 0.7776  -0.03
S 0.9259 0.1161 0.2322  -0.02
S 0.0741 0.8839 0.7678  -0.02
S 0.5854 0.6434 0.7495  -0.04
S 0.5854 0.1061 0.7495  -0.04
S 0.4146 0.8939 0.2505  -0.04
S 0.4146 0.3566 0.2505  -0.04

* SG: C2/m
* total DFT energy (no corrections): -91.40 eV/cell



# 5
This record from the Alexandria database describes crystalline Tb5Ru4Au at its relaxed geometry. The functional is PBE.

a b c (Å): 3.4340 3.4340 17.4922
angles (deg): 90.00 90.00 90.00
Fractional coordinates of all 10 atoms:
Tb 0.5000 0.5000 0.1136
Tb 0.5000 0.5000 0.3074
Tb 0.5000 0.5000 0.5000
Tb 0.5000 0.5000 0.6926
Tb 0.5000 0.5000 0.8864
Ru 0.0000 0.0000 0.2049
Ru 0.0000 0.0000 0.4028
Ru 0.0000 0.0000 0.5972
Ru 0.0000 0.0000 0.7951
Au 0.0000 0.0000 0.0000

* SG: P4/mmm
* energy relative to the elements: -442.7 meV per atom
* total DFT energy (no corrections): -67.96 eV/cell



# 6
This record from the Alexandria database describes crystalline BaSrV3 at its relaxed geometry. The functional is PBE.

a b c (Å): 5.2455 5.2455 5.2455
angles (deg): 90.00 90.00 90.00
Each line ends with the local moment (μB).
Fractional coordinates of all 5 atoms:
Sr 0.5000 0.5000 0.5000  0.02
Ba 0.0000 0.0000 0.0000  0.04
V 0.0000 0.5000 0.0000  2.14
V 0.0000 0.0000 0.5000  2.14
V 0.5000 0.0000 0.0000  2.14

* excess energy over the best structure of this formula in the dataset: 3.2 kJ/mol of atoms
* SG: Pm-3m
* energy relative to the elements: 1974.0 meV per atom
* total DFT energy (no corrections): -21.09 eV/cell



# 7
This record from the Alexandria database describes crystalline K2BaCa at its relaxed geometry. The functional is PBE.

a b c (Å): 4.1941 4.1941 14.5131
angles (deg): 90.00 90.00 110.30
Fractional coordinates of all 4 atoms:
K 0.0000 0.0000 0.9823
K 0.5000 0.5000 0.2554
Ca 0.5000 0.5000 0.7419
Ba 0.0000 0.0000 0.5205

* excess energy over the best structure of this formula in the dataset: 0.0 kJ/mol of atoms
* SG: Cmm2
* energy relative to the elements: 85.9 meV per atom
* total DFT energy (no corrections): -5.78 eV/cell



# 8
This record from the Alexandria database describes crystalline Ta2CdF at its relaxed geometry. The functional is PBE.

a b c (Å): 4.6849 4.6849 8.1741
angles (deg): 73.35 73.35 90.00
Fractional coordinates of all 8 atoms:
F 0.5000 0.5000 0.0000
F 0.2500 0.7500 0.5000
Cd 0.0000 0.0000 0.0000
Cd 0.7500 0.2500 0.5000
Ta 0.4853 0.1250 0.2500
Ta 0.2647 0.6250 0.2500
Ta 0.3750 0.5147 0.7500
Ta 0.8750 0.7353 0.7500

* excess energy over the best structure of this formula in the dataset: 17.7 kJ/mol of atoms
* SG: I-42d
* total DFT energy (no corrections): -48.56 eV/cell



Number 1: total moment 0.665 μB per cell. Number 2: total moment 5.093 μB per cell. Number 3: total moment 0.000 μB per cell. Number 4: total moment 5.000 μB per cell. Number 5: total moment 0.000 μB per cell. Number 6: total moment 7.444 μB per cell. Number 7: total moment 0.000 μB per cell. Number 8: total moment 0.000 μB per cell.